1.
{"formula": "NaAlBr2", "functional": "GGA-PBEsol", "state": "relaxed", "lattice": [[1.9012, 1.0976, 8.7599], [-1.9012, 1.0976, 8.7599], [0.0000, -2.1953, 8.7599]], "species": ["Na", "Al", "Br", "Br"], "fractional_positions": [[0.0000, 0.0000, 0.0000], [0.5000, 0.5000, 0.5000], [0.4023, 0.4023, 0.4023], [0.5977, 0.5977, 0.5977]], "sg": "R-3m (166)", "e_tot_ev_per_atom": -2.949, "total_magnetization_mub_per_atom": 0.000, "raw_formation_energy_ev_per_fu": -2.6}

---

2.
{"formula": "KFe2Cu", "functional": "GGA-PBEsol", "state": "relaxed", "lattice": [[-1.8913, 1.8913, 4.4981], [1.8913, -1.8913, 4.4981], [1.8913, 1.8913, -4.4981]], "species": ["K", "Fe", "Fe", "Cu"], "fractional_positions": [[0.0000, 0.0000, 0.0000], [0.2500, 0.7500, 0.5000], [0.7500, 0.2500, 0.5000], [0.5000, 0.5000, 0.0000]], "de_polymorph_mev_per_atom": 435.3, "sg": "I4/mmm (139)", "e_tot_ev_per_atom": -4.535, "total_magnetization_mub_per_atom": 1.426}

---

3.
{"formula": "ZrTcSe", "functional": "GGA-PBEsol", "state": "relaxed", "lattice": [[0.0000, 3.0334, 3.0334], [3.0334, 0.0000, 3.0334], [3.0334, 3.0334, 0.0000]], "species": ["Zr", "Tc", "Se"], "fractional_positions": [[0.0000, 0.0000, 0.0000], [0.2500, 0.2500, 0.2500], [0.5000, 0.5000, 0.5000]], "de_polymorph_mev_per_atom": 0.0, "sg": "F-43m (216)", "e_tot_ev_per_atom": -8.287, "total_magnetization_mub_per_atom": 0.000, "raw_formation_energy_ev_per_fu": -0.7}

---

4.
{"formula": "Sc4Tl5", "functional": "GGA-PBEsol", "state": "relaxed", "lattice": [[-4.8881, 4.8881, 2.1866], [4.8881, -4.8881, 2.1866], [4.8881, 4.8881, -2.1866]], "species": ["Sc", "Sc", "Sc", "Sc", "Tl", "Tl", "Tl", "Tl", "Tl"], "fractional_positions": [[0.0000, 0.3228, 0.3228], [0.0000, 0.6772, 0.6772], [0.3228, 0.0000, 0.3228], [0.6772, 0.0000, 0.6772], [0.0000, 0.0000, 0.0000], [0.3285, 0.3285, 0.6570], [0.3285, 0.6715, 0.0000], [0.6715, 0.3285, 0.0000], [0.6715, 0.6715, 0.3430]], "de_polymorph_mev_per_atom": 66.6, "sg": "I4/mmm (139)", "e_tot_ev_per_atom": -4.611, "total_magnetization_mub_per_atom": 0.000}

---

5.
{"formula": "RbCuW3", "functional": "GGA-PBEsol", "state": "relaxed", "lattice": [[4.5957, 0.0000, 0.0000], [0.0000, 4.5957, 0.0000], [0.0000, 0.0000, 4.5957]], "species": ["Rb", "Cu", "W", "W", "W"], "fractional_positions": [[0.0000, 0.0000, 0.0000], [0.5000, 0.5000, 0.5000], [0.0000, 0.0000, 0.5000], [0.0000, 0.5000, 0.0000], [0.5000, 0.0000, 0.0000]], "sg": "Pm-3m (221)", "e_tot_ev_per_atom": -5.300, "total_magnetization_mub_per_atom": 0.000}

---

6.
{"formula": "Be2NbRu", "functional": "GGA-PBEsol", "state": "relaxed", "lattice": [[-1.7887, 1.7887, 8.5066], [1.7887, -1.7887, 8.5066], [1.7887, 1.7887, -8.5066]], "species": ["Be", "Be", "Be", "Be", "Nb", "Nb", "Ru", "Ru"], "fractional_positions": [[0.0779, 0.6250, 0.9529], [0.3750, 0.3279, 0.4529], [0.6721, 0.1250, 0.0471], [0.8750, 0.9221, 0.5471], [0.2500, 0.7500, 0.5000], [0.5000, 0.5000, 0.0000], [0.0000, 0.0000, 0.0000], [0.7500, 0.2500, 0.5000]], "sg": "I-42d (122)", "e_tot_ev_per_atom": -6.834, "total_magnetization_mub_per_atom": 0.000}

---

7.
{"formula": "AsSeCl", "functional": "GGA-PBEsol", "state": "relaxed", "lattice": [[0.0000, 3.8399, 6.3907], [1.7373, 0.0000, 6.3907], [1.7373, 3.8399, 0.0000]], "species": ["As", "Se", "Cl"], "fractional_positions": [[0.0000, 0.0000, 0.0000], [0.3693, 0.3693, 0.6307], [0.6554, 0.6554, 0.3446]], "sg": "Fmm2 (42)", "e_tot_ev_per_atom": -3.612, "total_magnetization_mub_per_atom": 0.000, "raw_formation_energy_ev_per_fu": 0.1}

---

8.
{"formula": "MgSe", "functional": "GGA-PBEsol", "state": "relaxed", "lattice": [[2.1636, 1.2491, 7.4585], [-2.1636, 1.2491, 7.4585], [0.0000, -2.4983, 7.4585]], "species": ["Mg", "Mg", "Se", "Se"], "fractional_positions": [[0.2140, 0.2140, 0.2140], [0.7860, 0.7860, 0.7860], [0.0941, 0.0941, 0.0941], [0.9059, 0.9059, 0.9059]], "sg": "R-3m (166)", "e_tot_ev_per_atom": -3.901, "total_magnetization_mub_per_atom": 0.000, "raw_formation_energy_ev_per_fu": -2.2}